HgGePb2: optimized geometry, PBE.

abc: 7.5713 7.5713 7.5713
angles: 90.00 90.00 90.00
Closest atoms and distances in Å follow each position.
Space group F-43m (No. 216)
One atom of each set of equivalent atoms:
Hg 0.0000 0.0000 0.0000  4 Ge 3.28, 4 Pb 3.28
Ge 0.2500 0.2500 0.7500  4 Hg 3.28, 4 Pb 3.28
Pb 0.0000 0.0000 0.5000  4 Pb 3.28, 4 Ge 3.28
Pb 0.2500 0.2500 0.2500  4 Hg 3.28, 4 Pb 3.28

E_tot   -46.2 eV for the cell shown